[1]
First-principles (PBE) data for an optimized crystal structure of DyEr2NiSn3Pd2, as listed in OQMD via LeMat-Bulk.

POSCAR file:
```
DyEr2NiSn3Pd2
1.0
3.837 0.000 0.000
0.000 6.538 3.767
0.000 -6.538 3.767
Dy Er Ni Sn Pd
1 2 1 3 2
direct
0.000 0.000 0.000 Dy
0.000 0.401 0.802 Er
0.000 0.802 0.401 Er
0.000 0.402 0.402 Ni
0.500 0.150 0.402 Sn
0.500 0.402 0.150 Sn
0.500 0.653 0.653 Sn
0.500 0.069 0.733 Pd
0.500 0.733 0.069 Pd
```

symmetry: Amm2 (38)
M_tot: 0.00 μB per formula unit
DFT total energy: -5.500 eV per atom


[2]
First-principles (PBE) data for an optimized crystal structure of TmCoSi2Os, as listed in OQMD via LeMat-Bulk.

POSCAR file:
```
TmCoSi2Os
1.0
-1.998 1.998 4.853
1.998 -1.998 4.853
1.998 1.998 -4.853
Tm Co Si Os
1 1 2 1
direct
0.000 0.000 0.000 Tm
0.750 0.250 0.500 Co
0.374 0.374 0.000 Si
0.626 0.626 0.000 Si
0.250 0.750 0.500 Os
```

symmetry: I-4m2 (119)
M_tot: 0.00 μB per formula unit
DFT total energy: -7.507 eV per atom


[3]
First-principles (PBE) data for an optimized crystal structure of CoAgPbAu, as listed in OQMD via LeMat-Bulk.

POSCAR file:
```
CoAgPbAu
1.0
0.000 3.310 3.310
3.310 0.000 3.310
3.310 3.310 0.000
Co Ag Pb Au
1 1 1 1
direct
0.000 0.000 0.000 Co
0.500 0.500 0.500 Ag
0.750 0.750 0.750 Pb
0.250 0.250 0.250 Au
```

symmetry: F-43m (216)
M_tot: 1.30 μB per formula unit
relative energy among the computed polymorphs: 0.000 eV/atom


[4]
First-principles (PBE) data for an optimized crystal structure of Tb6Ni2Hg, as listed in OQMD via LeMat-Bulk.

POSCAR file:
```
Tb6Ni2Hg
1.0
-4.645 4.869 5.039
4.645 -4.869 5.039
4.645 4.869 -5.039
Tb Ni Hg
12 4 2
direct
0.034 0.233 0.801 Tb
0.182 0.292 0.474 Tb
0.182 0.708 0.890 Tb
0.325 0.018 0.693 Tb
0.325 0.633 0.307 Tb
0.433 0.233 0.199 Tb
0.567 0.767 0.801 Tb
0.675 0.367 0.693 Tb
0.675 0.982 0.307 Tb
0.818 0.292 0.110 Tb
0.818 0.708 0.526 Tb
0.966 0.767 0.199 Tb
0.123 0.623 0.500 Ni
0.356 0.000 0.356 Ni
0.644 0.000 0.644 Ni
0.877 0.377 0.500 Ni
0.000 0.000 0.000 Hg
0.500 0.500 0.000 Hg
```

symmetry: Immm (71)
formation enthalpy at 0 K: -0.33 eV per atom
M_tot: 0.00 μB per formula unit


[5]
First-principles (PBE) data for an optimized crystal structure of LuSnAuSe3, as listed in OQMD via LeMat-Bulk.

POSCAR file:
```
LuSnAuSe3
1.0
12.189 0.000 0.000
0.000 4.128 0.000
0.000 0.000 12.573
Lu Sn Au Se
4 4 4 12
direct
0.019 0.250 0.163 Lu
0.481 0.750 0.663 Lu
0.519 0.250 0.337 Lu
0.981 0.750 0.837 Lu
0.183 0.250 0.563 Sn
0.317 0.750 0.063 Sn
0.683 0.250 0.937 Sn
0.817 0.750 0.437 Sn
0.203 0.750 0.393 Au
0.297 0.250 0.893 Au
0.703 0.750 0.107 Au
0.797 0.250 0.607 Au
0.014 0.750 0.318 Se
0.098 0.250 0.945 Se
0.246 0.250 0.201 Se
0.254 0.750 0.701 Se
0.402 0.750 0.445 Se
0.486 0.250 0.818 Se
0.514 0.750 0.182 Se
0.598 0.250 0.555 Se
0.746 0.250 0.299 Se
0.754 0.750 0.799 Se
0.902 0.750 0.055 Se
0.986 0.250 0.682 Se
```

symmetry: Pnma (62)
M_tot: 0.00 μB per formula unit
relative energy among the computed polymorphs: 0.000 eV/atom


[6]
First-principles (PBE) data for an optimized crystal structure of Gd2Mg2Tc, as listed in OQMD via LeMat-Bulk.

POSCAR file:
```
Gd2Mg2Tc
1.0
-1.953 1.953 16.065
1.953 -1.953 16.065
1.953 1.953 -16.065
Gd Mg Tc
4 4 2
direct
0.089 0.089 0.000 Gd
0.250 0.750 0.500 Gd
0.750 0.250 0.500 Gd
0.911 0.911 0.000 Gd
0.000 0.500 0.500 Mg
0.175 0.175 0.000 Mg
0.500 0.000 0.500 Mg
0.825 0.825 0.000 Mg
0.356 0.356 0.000 Tc
0.644 0.644 0.000 Tc
```

symmetry: I4/mmm (139)
M_tot: 0.00 μB per formula unit
DFT total energy: -3.874 eV per atom